Entry 1:
CuReHgAs | GGA-PBE | relaxed

```
4
Lattice="0.000 3.191 3.191 3.191 0.000 3.191 3.191 3.191 0.000" Properties=species:S:1:pos:R:3 pbc="T T T"
As 0.000 0.000 0.000
Cu 4.786 4.786 4.786
Hg 3.191 3.191 3.191
Re 1.595 1.595 1.595
```

Values from the calculation:
SG	F-43m, No. 216
relative energy among the computed polymorphs	0.000	eV/atom
size of the total moment	0.00	μB/atom

Entry 2:
TaCuHgAs | GGA-PBE | relaxed

```
4
Lattice="0.000 3.264 3.264 3.264 0.000 3.264 3.264 3.264 0.000" Properties=species:S:1:pos:R:3 pbc="T T T"
As 0.000 0.000 0.000
Cu 4.896 4.896 4.896
Hg 3.264 3.264 3.264
Ta 1.632 1.632 1.632
```

Values from the calculation:
SG	F-43m, No. 216
relative energy among the computed polymorphs	0.000	eV/atom
size of the total moment	0.00	μB/atom

Entry 3:
TaCuHgAs | GGA-PBE | relaxed

```
4
Lattice="0.000 3.320 3.320 3.320 0.000 3.320 3.320 3.320 0.000" Properties=species:S:1:pos:R:3 pbc="T T T"
As 0.000 0.000 0.000
Cu 4.981 4.981 4.981
Hg 1.660 1.660 1.660
Ta 3.320 3.320 3.320
```

Values from the calculation:
SG	F-43m, No. 216
relative energy among the computed polymorphs	0.377	eV/atom
size of the total moment	0.24	μB/atom

Entry 4:
CuTcHgAs | GGA-PBE | relaxed

```
4
Lattice="0.296 0.218 4.497 -3.751 0.085 2.506 -1.118 -3.579 2.510" Properties=species:S:1:pos:R:3 pbc="T T T"
As 0.000 0.000 0.000
Cu -3.431 -2.457 7.135
Hg -2.287 -1.638 4.757
Tc -1.144 -0.819 2.378
```

Values from the calculation:
SG	F-43m, No. 216
relative energy among the computed polymorphs	0.000	eV/atom
size of the total moment	0.01	μB/atom